A relaxed Al2TlIr crystal, computed with GGA-PBE.

## Properties
- total magnetization (μB per cell) = 0.0
- energy relative to the elements (meV/atom) = 276
- space group = Pmmm
- total energy (eV/atom) = -4.40

Geometry as POSCAR:
```
Al2TlIr
1.0
-1.1616 -2.8718 -0.6658
2.7976 -2.0142 3.8071
-3.3352 0.6955 2.8188
Tl Al Ir
1 2 1
direct
0.0000 0.5000 0.5000
0.0000 0.0000 0.0000
0.5000 0.5000 0.0000
0.5000 0.0000 0.5000
```